1.
Material: CsNa2PuF6
Method: DFT, PBE
State: optimized geometry

Geometry as POSCAR:
```
CsNa2PuF6
1.0
6.2375 0.0006 0.0008
3.1193 5.4021 0.0009
3.1195 1.8017 5.4911
F Cs Pu Na
6 1 1 2
Cartesian
6.5131 5.2283 4.1823 F
4.6935 3.0275 4.1820 F
5.1914 5.3474 1.1851 F
8.2732 3.6354 1.1861 F
7.5084 2.5511 4.1830 F
5.2494 1.8234 1.1844 F
9.3571 5.4034 3.5276 Cs
3.1190 1.8010 0.2864 Pu
6.2379 3.6022 2.3382 Na
3.1199 1.8018 5.2913 Na
```

Spin magnetization ... 0.500 μB/atom
Mass density ... 4.82 g/cm3
Formation energy from raw total energies ... -30.65 eV per formula unit
DFT total energy ... -59.70 eV/f.u.

=====

2.
Material: CsSr2YZn
Method: DFT, PBE
State: optimized geometry

Geometry as POSCAR:
```
CsSr2YZn
1.0
6.2205 0.0000 0.0000
0.0000 5.6939 0.0000
0.0000 0.0000 6.2205
Sr Y Cs Zn
2 1 1 1
Cartesian
0.0000 0.0000 3.1102 Sr
3.1102 0.0000 0.0000 Sr
0.0000 2.8469 0.0000 Y
0.0000 0.0000 0.0000 Cs
3.1102 2.8469 3.1102 Zn
```

Spin magnetization ... 0.000 μB/atom
Mass density ... 3.49 g/cm3
DFT total energy ... -6.01 eV/f.u.
Calculated formation energy ... 1.19 eV per atom

=====

3.
Material: Ce2PmBi3
Method: DFT, PBE
State: optimized geometry

Geometry as POSCAR:
```
Ce2PmBi3
1.0
4.5947 0.0000 0.0000
0.0000 6.4955 0.0000
-2.2974 -3.2478 6.8943
Bi Pm Ce
3 1 2
Cartesian
0.0000 0.0000 4.5918 Bi
0.0000 0.0000 0.0000 Bi
2.2974 3.2478 2.3025 Bi
0.0000 3.2478 0.0000 Pm
2.2974 0.0000 2.2984 Ce
0.0000 3.2478 4.5959 Ce
```

Spin magnetization ... 0.290 μB/atom
Mass density ... 8.49 g/cm3
DFT total energy ... -33.32 eV/f.u.
Calculated formation energy ... -0.84 eV per atom

=====

4.
Material: Tb2ScRh4
Method: DFT, PBE
State: optimized geometry

Geometry as POSCAR:
```
Tb2ScRh4
1.0
4.4142 0.0000 1.3791
1.9917 3.9394 1.3791
-0.0704 -0.0433 7.9792
Sc Rh Tb
1 4 2
Cartesian
0.0000 0.0000 0.0000 Sc
4.0146 2.4688 2.6582 Rh
2.3210 1.4273 8.0792 Rh
5.6222 3.4574 5.2667 Rh
0.7134 0.4387 5.4707 Rh
4.8113 2.9587 7.8622 Tb
1.5243 0.9374 2.8752 Tb
```

Spin magnetization ... 0.000 μB/atom
Mass density ... 9.23 g/cm3
DFT total energy ... -49.04 eV/f.u.
Calculated formation energy ... -0.58 eV per atom

=====

5.
Material: Sr3La2UAs6
Method: DFT, PBE
State: optimized geometry

Geometry as POSCAR:
```
Sr3La2UAs6
1.0
-1.3300 -4.3371 -6.0544
6.9626 2.6659 1.2849
-0.3671 -5.2730 5.4461
As Sr U La
6 3 1 2
Cartesian
2.7820 -6.4731 -0.5789 As
5.3431 -4.3103 1.6878 As
1.0240 -4.4999 3.1367 As
-0.0776 -2.6339 -1.0112 As
4.2415 -2.4443 -2.4601 As
2.4835 -0.4711 1.2555 As
-0.0972 -5.7775 -2.0778 Sr
5.3627 -1.1667 2.7544 Sr
2.6328 -3.4721 0.3383 Sr
0.0000 0.0000 0.0000 U
4.1936 0.3275 -1.1658 La
1.4390 -1.9988 -3.6037 La
```

Spin magnetization ... 0.000 μB/atom
Mass density ... 5.75 g/cm3
DFT total energy ... -68.77 eV/f.u.
Calculated formation energy ... -1.22 eV per atom

=====

6.
Material: CuHPt2Pb
Method: DFT, PBE
State: optimized geometry

Geometry as POSCAR:
```
CuHPt2Pb
1.0
4.0473 0.0000 0.0000
0.0000 4.0473 0.0000
0.0000 0.0000 4.4052
Pt Cu H Pb
2 1 1 1
Cartesian
2.0236 0.0000 0.0000 Pt
0.0000 2.0236 0.0000 Pt
0.0000 0.0000 2.2026 Cu
0.0000 0.0000 0.0000 H
2.0236 2.0236 2.2026 Pb
```

Spin magnetization ... 0.000 μB/atom
Mass density ... 15.23 g/cm3
DFT total energy ... -22.89 eV/f.u.

=====

7.
Material: TbPmF6
Method: DFT, PBE
State: optimized geometry

Geometry as POSCAR:
```
TbPmF6
1.0
-5.4964 1.7499 1.3740
-4.2991 -0.2193 -4.0827
-4.4784 -4.4911 0.6365
F Pm Tb
6 1 1
Cartesian
-6.0736 -0.8552 -2.9423 F
-5.8231 0.0081 0.0648 F
-8.2002 -2.1053 0.8701 F
-5.6829 -3.1838 -0.6652 F
-8.4508 -2.9686 -2.1369 F
-8.5909 0.2233 -1.4069 F
-7.1369 -1.4802 -1.0361 Pm
0.0000 0.0000 0.0000 Tb
```

Spin magnetization ... 0.000 μB/atom
Mass density ... 4.24 g/cm3
Formation energy from raw total energies ... -32.60 eV per formula unit
DFT total energy ... -53.21 eV/f.u.

=====

8.
Material: TeSeI2F
Method: DFT, PBE
State: optimized geometry

Geometry as POSCAR:
```
TeSeI2F
1.0
5.5904 0.0000 0.0000
0.0000 5.5904 0.0000
0.0000 0.0000 5.6911
Se I Te F
1 2 1 1
Cartesian
0.0000 0.0000 0.0000 Se
2.7952 0.0000 0.0000 I
0.0000 2.7952 0.0000 I
0.0000 0.0000 2.8456 Te
2.7952 2.7952 2.8456 F
```

Spin magnetization ... 0.368 μB/atom
Energy relative to the lowest polymorph listed for this composition ... 12 meV/atom
Mass density ... 4.48 g/cm3
Formation energy from raw total energies ... 1.36 eV per formula unit
DFT total energy ... -10.23 eV/f.u.

=====

9.
Material: Li4CdGa
Method: DFT, PBE
State: optimized geometry

Geometry as POSCAR:
```
Li4CdGa
1.0
4.5401 -0.0015 0.0005
0.0013 5.2200 1.8924
-0.0010 -0.0854 8.3813
Li Ga Cd
8 2 2
Cartesian
3.4042 0.1133 7.7498 Li
3.4056 3.7309 6.2666 Li
1.1359 4.1849 5.0163 Li
1.1355 2.3581 1.5594 Li
1.1362 5.0199 2.5243 Li
1.1348 1.4022 4.0075 Li
3.4046 0.9483 5.2578 Li
3.4049 2.7751 8.7147 Li
3.4050 0.6572 2.2573 Ga
1.1354 4.4760 8.0168 Ga
1.1348 1.9203 6.9207 Cd
3.4056 3.2128 3.3534 Cd
```

Spin magnetization ... 0.000 μB/atom
Energy relative to the lowest polymorph listed for this composition ... 0 meV/atom
Mass density ... 3.50 g/cm3
DFT total energy ... -12.96 eV/f.u.
Calculated formation energy ... -0.23 eV per atom

=====

10.
Material: Pr2SmMn
Method: DFT, PBE
State: optimized geometry

Geometry as POSCAR:
```
Pr2SmMn
1.0
3.6638 0.0000 0.0000
0.0000 3.6638 0.0000
0.0000 0.0000 9.0018
Pr Sm Mn
2 1 1
Cartesian
0.0000 0.0000 7.1229 Pr
0.0000 0.0000 1.8788 Pr
1.8319 1.8319 4.5009 Sm
1.8319 1.8319 0.0000 Mn
```

Spin magnetization ... 0.945 μB/atom
Mass density ... 6.69 g/cm3
DFT total energy ... -22.70 eV/f.u.
Calculated formation energy ... 0.19 eV per atom

=====

11.
Material: LaCu2Pb
Method: DFT, PBE
State: optimized geometry

Geometry as POSCAR:
```
LaCu2Pb
1.0
3.6577 0.0000 0.0000
0.0000 3.6618 0.0000
0.0000 0.0000 6.7666
La Cu Pb
1 2 1
Cartesian
1.8289 1.8309 1.6916 La
0.0000 0.0000 3.4568 Cu
0.0000 0.0000 6.6931 Cu
1.8289 1.8309 5.0749 Pb
```

Spin magnetization ... 0.000 μB/atom
Mass density ... 8.67 g/cm3
DFT total energy ... -16.82 eV/f.u.
Calculated formation energy ... 0.00 eV per atom

=====

12.
Material: GaGeN2F
Method: DFT, PBE
State: optimized geometry

Geometry as POSCAR:
```
GaGeN2F
1.0
3.8555 0.0000 0.0000
0.0000 3.8555 0.0000
0.0000 0.0000 3.8021
N Ga Ge F
2 1 1 1
Cartesian
1.9277 0.0000 0.0000 N
0.0000 1.9277 0.0000 N
1.9277 1.9277 1.9011 Ga
0.0000 0.0000 0.0000 Ge
0.0000 0.0000 1.9011 F
```

Spin magnetization ... 0.000 μB/atom
Energy relative to the lowest polymorph listed for this composition ... 0 meV/atom
Mass density ... 5.56 g/cm3
Formation energy from raw total energies ... 1.38 eV per formula unit
DFT total energy ... -24.78 eV/f.u.